No. 1
# Tb3Dy3Th4

A geometry-optimized Tb3Dy3Th4 structure (PBE, the Alexandria database).

Summary:
energy relative to the elements	0.228	eV/atom
E	-5.51	eV/atom
space group	Amm2 (38)
total magnetization	0.000	μB per cell

extended XYZ file:
```
10
Lattice="3.919 0.000 0.000 0.000 6.507 6.500 0.000 -6.507 6.500" Properties=species:S:1:pos:R:3 pbc="T T T"
Tb 0.000 0.000 0.000
Tb 1.960 -3.248 5.369
Tb 1.960 3.248 5.369
Dy 0.000 0.000 4.239
Dy 0.000 -2.123 8.622
Dy 0.000 2.123 8.622
Th 1.960 -1.732 2.119
Th 1.960 1.732 2.119
Th 1.960 0.000 6.893
Th 1.960 0.000 10.351
```

No. 2
# TiFePtAu2

A geometry-optimized TiFePtAu2 structure (PBE, the Alexandria database).

Summary:
energy relative to the elements	1.177	eV/atom
E	-4.61	eV/atom
space group	P4/mmm (123)
total magnetization	0.316	μB per cell

extended XYZ file:
```
5
Lattice="5.036 0.000 0.000 0.000 5.036 0.000 0.000 0.000 4.419" Properties=species:S:1:pos:R:3 pbc="T T T"
Ti 0.000 0.000 0.000
Fe 2.518 2.518 0.000
Pt 2.518 2.518 2.210
Au 0.000 2.518 2.210
Au 2.518 0.000 2.210
```

No. 3
# YTi3Ru

A geometry-optimized YTi3Ru structure (PBE, the Alexandria database).

Summary:
energy relative to the elements	1.733	eV/atom
E	-6.15	eV/atom
space group	Pm-3m (221)
total magnetization	0.000	μB per cell

extended XYZ file:
```
5
Lattice="4.645 0.000 0.000 0.000 4.645 0.000 0.000 0.000 4.645" Properties=species:S:1:pos:R:3 pbc="T T T"
Y 0.000 0.000 0.000
Ti 0.000 0.000 2.323
Ti 0.000 2.323 0.000
Ti 2.323 0.000 0.000
Ru 2.323 2.323 2.323
```

No. 4
# MnGe

A geometry-optimized MnGe structure (PBE, the Alexandria database).

Summary:
energy relative to the elements	0.326	eV/atom
E	-6.57	eV/atom
space group	Fddd (70)
total magnetization	4.517	μB per cell

extended XYZ file:
```
8
Lattice="0.000 3.862 6.479 2.259 0.000 6.479 2.259 3.862 0.000" Properties=species:S:1:pos:R:3 pbc="T T T"
Mn 0.565 0.965 0.539
Mn 0.565 0.965 2.700
Mn 3.953 6.758 10.259
Mn 3.953 6.758 12.420
Ge 1.694 1.618 4.860
Ge 2.823 3.549 8.099
Ge 1.694 4.174 4.860
Ge 2.823 6.105 8.099
```

No. 5
# Ac2BeZnPt6

A geometry-optimized Ac2BeZnPt6 structure (PBE, the Alexandria database).

Summary:
energy relative to the elements	-0.820	eV/atom
E	-5.77	eV/atom
space group	C2/m (12)
total magnetization	0.000	μB per cell

extended XYZ file:
```
10
Lattice="5.157 -2.967 0.000 5.157 2.967 0.000 -3.467 0.000 6.516" Properties=species:S:1:pos:R:3 pbc="T T T"
Ac 1.714 0.000 1.075
Ac 5.133 0.000 5.441
Be -1.734 0.000 3.258
Zn 5.157 0.000 0.000
Pt 2.511 1.403 4.505
Pt 0.083 0.000 4.495
Pt 4.336 1.403 2.011
Pt 2.511 -1.403 4.505
Pt 6.764 0.000 2.020
Pt 4.336 -1.403 2.011
```

No. 6
# Ti4NbTl

A geometry-optimized Ti4NbTl structure (PBE, the Alexandria database).

Summary:
energy relative to the elements	0.062	eV/atom
E	-7.27	eV/atom
space group	Pm (6)
total magnetization	0.000	μB per cell

extended XYZ file:
```
6
Lattice="2.957 0.000 0.000 0.000 4.444 0.000 -1.380 0.000 8.417" Properties=species:S:1:pos:R:3 pbc="T T T"
Ti 0.000 0.000 0.000
Ti -0.118 2.222 3.899
Ti 1.598 2.222 1.364
Ti 1.488 0.000 5.263
Nb 0.739 0.000 2.634
Tl 0.058 2.222 6.840
```

No. 7
# Ho2TmScTe4

A geometry-optimized Ho2TmScTe4 structure (PBE, the Alexandria database).

Summary:
E	-5.25	eV/atom
space group	P2/m (10)
raw formation energy	-1.19	eV/atom
total magnetization	0.000	μB per cell

extended XYZ file:
```
8
Lattice="7.449 0.000 0.000 0.000 4.247 0.000 -2.421 0.000 7.053" Properties=species:S:1:pos:R:3 pbc="T T T"
Ho 0.000 0.000 0.000
Ho 3.724 2.123 0.000
Tm -1.211 2.123 3.527
Sc 2.514 0.000 3.527
Te 0.078 0.000 5.245
Te 1.289 2.123 1.830
Te 3.739 2.123 5.223
Te 4.949 0.000 1.808
```

No. 8
# Ac2SmAgSe5

A geometry-optimized Ac2SmAgSe5 structure (PBE, the Alexandria database).

Summary:
E	-5.36	eV/atom
space group	Cmc2_1 (36)
raw formation energy	-1.67	eV/atom
total magnetization	0.000	μB per cell

extended XYZ file:
```
18
Lattice="2.162 -9.074 0.000 2.162 9.074 0.000 0.000 0.000 12.856" Properties=species:S:1:pos:R:3 pbc="T T T"
Ac 2.162 7.051 6.428
Ac 2.162 6.819 1.588
Ac 2.162 -6.819 8.016
Ac 2.162 -7.051 0.000
Sm 2.162 5.546 10.581
Sm 2.162 -5.546 4.153
Ag 2.162 1.009 3.508
Ag 2.162 -1.009 9.936
Se 2.162 8.248 11.392
Se 2.162 3.830 6.177
Se 2.162 3.509 2.105
Se 2.162 2.586 10.491
Se 2.162 0.031 7.544
Se 2.162 -0.031 1.116
Se 2.162 -2.586 4.063
Se 2.162 -3.509 8.533
Se 2.162 -3.830 12.605
Se 2.162 -8.248 4.964
```

Q: E of number 4 (MnGe)?
A: -6.57 eV/atom

Q: Which of these has the highest E?
A: TiFePtAu2

Q: Look up the E of the seventh one.
A: -5.25 eV/atom